Ac8Ge3N2 after structural relaxation. Source: Alexandria via LeMat-Bulk, functional PBE-GGA.

Summary:
DOS at the Fermi energy = 27.0 states/eV/cell
Uncorrected formation energy = -0.513 eV/atom
Density = 7.671 Mg/m³

CIF file:
```
data_Ac8Ge3N2
_chemical_formula_sum 'Ac24 Ge9 N6'
_cell_length_a 7.4770
_cell_length_b 7.4770
_cell_length_c 27.6573
_cell_angle_alpha 90.00
_cell_angle_beta 90.00
_cell_angle_gamma 120.00
_space_group_name_H-M_alt 'R -3 m'
_space_group_IT_number 166
_space_group_name_Hall '-R 3 2"'
loop_
_atom_site_label
_atom_site_type_symbol
_atom_site_fract_x
_atom_site_fract_y
_atom_site_fract_z
Ac1 Ac 0.0000 0.0000 0.1876
Ac2 Ac 0.0047 0.5023 0.2692
Ge1 Ge 0.0000 0.0000 0.3020
Ge2 Ge 0.0000 0.0000 0.5000
N1 N 0.0000 0.0000 0.1010
```